First-principles (PBE) data for CaPm5In6 after structural relaxation, as listed in Alexandria.

total magnetization	0.00	Bohr magnetons per cell

Cell and atoms, written as POSCAR:
```
CaPm5In6
1.0
4.901 -0.004 -1.373
-3.561 7.776 -3.297
-0.077 -0.382 9.158
Pm In Ca
5 6 1
direct
0.500 0.164 0.836 Pm
0.000 0.333 0.667 Pm
0.500 0.500 0.500 Pm
0.500 0.836 0.164 Pm
0.000 0.667 0.333 Pm
0.750 0.582 0.918 In
0.250 0.750 0.750 In
0.250 0.082 0.418 In
0.750 0.918 0.582 In
0.250 0.418 0.082 In
0.750 0.250 0.250 In
0.000 0.000 0.000 Ca
```

=====

First-principles (PBE) data for Pm2Zn3Au6 after structural relaxation, as listed in Alexandria.

total magnetization	0.00	Bohr magnetons per cell
polymorph energy (0 for the lowest one)	0.00	eV/f.u.

Cell and atoms, written as POSCAR:
```
Pm2Zn3Au6
1.0
-3.778 -1.237 1.977
2.592 -7.273 0.404
1.411 4.934 5.783
Au Zn Pm
6 3 2
direct
0.000 0.786 0.000 Au
0.500 0.296 0.000 Au
0.000 0.214 0.214 Au
0.500 0.000 0.296 Au
0.500 0.704 0.704 Au
0.000 0.000 0.786 Au
0.500 0.380 0.380 Zn
0.500 0.620 0.000 Zn
0.500 0.000 0.620 Zn
0.000 0.333 0.667 Pm
0.000 0.667 0.333 Pm
```

=====

First-principles (PBE) data for Ca2ErNi9 after structural relaxation, as listed in Alexandria.

total magnetization	2.23	Bohr magnetons per cell

Cell and atoms, written as POSCAR:
```
Ca2ErNi9
1.0
4.958 0.000 0.000
2.479 4.294 0.000
2.479 1.431 8.142
Ni Ca Er
9 2 1
direct
0.579 0.579 0.759 Ni
0.421 0.421 0.241 Ni
0.918 0.421 0.241 Ni
0.421 0.918 0.241 Ni
0.667 0.667 0.998 Ni
0.579 0.082 0.759 Ni
0.500 0.500 0.500 Ni
0.082 0.579 0.759 Ni
0.333 0.333 0.002 Ni
0.141 0.141 0.577 Ca
0.859 0.859 0.423 Ca
0.000 0.000 0.000 Er
```

=====

| no. | energy relative to the elements (eV per atom) | density of states at the Fermi level (states/eV per cell) |
| --- | --- | --- |
| 1 | -0.48 | 7.0 |
| 2 | -0.47 | 5.0 |
| 3 | -0.26 | 12.5 |